The following is a GGA-PBE calculation of an optimized crystal structure of LaDyYAl, from Alexandria.

abc: 3.5570 3.5570 9.1881
angles: 90.00 90.00 90.00
Fractional positions:
Y: 0.5000 0.5000 0.7759
Dy: 0.5000 0.5000 0.3654
Al: 0.0000 0.0000 0.5704
La: 0.0000 0.0000 0.0729

Properties
E_form (meV/atom): -194
Energy above the most stable polymorph in this dataset (meV per atom): 0.0

The following is a GGA-PBE calculation of an optimized crystal structure of CsBAs2Br, from Alexandria.

abc: 4.5021 4.5021 8.8069
angles: 90.00 90.00 90.00
Fractional positions:
As: 0.0000 0.5000 0.0000
As: 0.5000 0.0000 0.0000
Cs: 0.5000 0.5000 0.5000
Br: 0.0000 0.0000 0.5000
B: 0.0000 0.0000 0.0000

Properties
Formation energy without anion corrections (eV/atom): 0.2680
Energy above the most stable polymorph in this dataset (meV per atom): 0.0

The following is a GGA-PBE calculation of an optimized crystal structure of Zr3MnBe, from Alexandria.

abc: 4.6287 4.6287 4.6287
angles: 90.00 90.00 90.00
Fractional positions:
Zr: 0.0000 0.0000 0.5000
Zr: 0.5000 0.0000 0.0000
Zr: 0.0000 0.5000 0.0000
Mn: 0.5000 0.5000 0.5000
Be: 0.0000 0.0000 0.0000

Properties
E_form (meV/atom): 774
Energy above the most stable polymorph in this dataset (meV per atom): 128.9

The following is a GGA-PBE calculation of an optimized crystal structure of BPIrAu, from Alexandria.

abc: 4.3086 3.3034 10.7535
angles: 90.00 113.44 90.00
Fractional positions:
P: 0.1423 0.5000 0.0762
P: 0.1423 0.0000 0.5762
Au: 0.9804 0.0000 0.8876
Au: 0.9804 0.5000 0.3876
B: 0.8079 0.0000 0.6539
B: 0.8079 0.5000 0.1539
Ir: 0.5669 0.0000 0.1887
Ir: 0.5669 0.5000 0.6887

Properties
E_form (meV/atom): 162
Energy above the most stable polymorph in this dataset (meV per atom): 129.8

The following is a GGA-PBE calculation of an optimized crystal structure of SrInGa, from Alexandria.

abc: 3.7257 3.7257 6.5997
angles: 106.40 106.40 90.00
Fractional positions:
Ga: 0.6854 0.6854 0.3707
Sr: 0.0060 0.0060 0.0121
In: 0.3086 0.3086 0.6172

Properties
E_form (meV/atom): -284

The following is a GGA-PBE calculation of an optimized crystal structure of La4TlIrBr2, from Alexandria.

abc: 4.2866 7.9301 8.1143
angles: 108.43 90.00 90.00
Fractional positions:
Br: 0.5000 0.0000 0.5000
Br: 0.0000 0.5000 0.5000
La: 0.5000 0.7151 0.7839
La: 0.0000 0.2785 0.7927
La: 0.5000 0.2849 0.2161
La: 0.0000 0.7215 0.2073
Tl: 0.0000 0.0000 0.0000
Ir: 0.5000 0.5000 0.0000

Properties
Formation energy without anion corrections (eV/atom): -0.9935

The following is a GGA-PBE calculation of an optimized crystal structure of Tc2PdRh6, from Alexandria.

abc: 3.8348 4.7249 8.1905
angles: 106.43 90.00 113.94
Fractional positions:
Rh: 0.9992 0.9984 0.8302
Rh: 0.3281 0.6561 0.9443
Rh: 0.0008 0.0016 0.1698
Rh: 0.6719 0.3439 0.0557
Rh: 0.6684 0.3367 0.3879
Rh: 0.3316 0.6633 0.6121
Tc: 0.3248 0.6497 0.2708
Tc: 0.6752 0.3503 0.7292
Pd: 0.0000 0.0000 0.5000

Properties
E_form (meV/atom): -34

The following is a GGA-PBE calculation of an optimized crystal structure of La2Pb3, from Alexandria.

abc: 10.0153 8.9272 6.6028
angles: 78.76 60.96 40.29
Fractional positions:
Pb: 0.8151 0.9018 0.8220
Pb: 0.4280 0.7889 0.4349
Pb: 0.2236 0.2764 0.2764
Pb: 0.3482 0.4349 0.7889
Pb: 0.4611 0.8220 0.9018
Pb: 0.9736 0.0264 0.0264
La: 0.7344 0.8681 0.3817
La: 0.8683 0.2342 0.5156
La: 0.3819 0.5156 0.2342
La: 0.0158 0.3817 0.8681

Properties
E_form (meV/atom): -538